# 1
Nb2ReNiH | GGA-PBE | optimized geometry

Cell: 4.144 4.144 3.797 Å, 90.00 90.00 90.00°
Fractional positions:
Re  0.000  0.000  0.500
Ni  0.500  0.500  0.500
Nb  0.000  0.500  0.000
Nb  0.500  0.000  0.000
H  0.000  0.000  0.000

Output
Raw total energy = -8.368 eV/atom
Theoretical density = 10.99 Mg/m³
Symmetry = P4/mmm

***

# 2
NbNi2HRh | GGA-PBE | optimized geometry

Cell: 3.723 3.723 4.044 Å, 90.00 90.00 90.00°
Fractional positions:
Ni  0.000  0.500  0.000
Ni  0.500  0.000  0.000
H  0.000  0.000  0.000
Rh  0.500  0.500  0.500
Nb  0.000  0.000  0.500

Output
Raw total energy = -6.688 eV/atom
Theoretical density = 9.31 Mg/m³
Symmetry = P4/mmm

***

# 3
NbNiHRh2 | GGA-PBE | optimized geometry

Cell: 3.878 3.878 3.985 Å, 90.00 90.00 90.00°
Fractional positions:
H  0.000  0.000  0.000
Nb  0.000  0.000  0.500
Rh  0.500  0.000  0.000
Rh  0.000  0.500  0.000
Ni  0.500  0.500  0.500

Output
Raw total energy = -7.026 eV/atom
Theoretical density = 9.93 Mg/m³
Symmetry = P4/mmm

***

# 4
NbNiHRh2 | GGA-PBE | optimized geometry

Cell: 3.956 3.956 3.770 Å, 90.00 90.00 90.00°
Fractional positions:
H  0.000  0.000  0.000
Rh  0.000  0.500  0.000
Rh  0.500  0.000  0.000
Nb  0.500  0.500  0.500
Ni  0.000  0.000  0.500

Output
Raw total energy = -7.125 eV/atom
Theoretical density = 10.09 Mg/m³
Symmetry = P4/mmm

***

# 5
Nb2NiHRh | GGA-PBE | optimized geometry

Cell: 4.020 4.020 3.951 Å, 90.00 90.00 90.00°
Fractional positions:
H  0.000  0.000  0.000
Nb  0.000  0.500  0.000
Nb  0.500  0.000  0.000
Ni  0.500  0.500  0.500
Rh  0.000  0.000  0.500

Output
Raw total energy = -7.549 eV/atom
Theoretical density = 9.06 Mg/m³
Symmetry = P4/mmm

***

# 6
Nb2NiHRh | GGA-PBE | optimized geometry

Cell: 4.058 4.058 3.846 Å, 90.00 90.00 90.00°
Fractional positions:
Nb  0.500  0.000  0.000
Nb  0.000  0.500  0.000
Rh  0.500  0.500  0.500
Ni  0.000  0.000  0.500
H  0.000  0.000  0.000

Output
Raw total energy = -7.587 eV/atom
Theoretical density = 9.13 Mg/m³
Symmetry = P4/mmm

***

# 7
NbNi2HRh | GGA-PBE | optimized geometry

Cell: 3.794 3.794 3.884 Å, 90.00 90.00 90.00°
Fractional positions:
H  0.000  0.000  0.000
Ni  0.000  0.500  0.000
Ni  0.500  0.000  0.000
Rh  0.000  0.000  0.500
Nb  0.500  0.500  0.500

Output
Raw total energy = -6.647 eV/atom
Theoretical density = 9.33 Mg/m³
Symmetry = P4/mmm

***

# 8
NbNi2HRu | GGA-PBE | optimized geometry

Cell: 3.731 3.731 3.970 Å, 90.00 90.00 90.00°
Fractional positions:
Ni  0.500  0.000  0.000
Ni  0.000  0.500  0.000
Ru  0.000  0.000  0.500
Nb  0.500  0.500  0.500
H  0.000  0.000  0.000

Output
Raw total energy = -7.063 eV/atom
Theoretical density = 9.39 Mg/m³
Symmetry = P4/mmm

***

# 9
NbNi2HRu | GGA-PBE | optimized geometry

Cell: 3.680 3.680 4.109 Å, 90.00 90.00 90.00°
Fractional positions:
Ru  0.500  0.500  0.500
H  0.000  0.000  0.000
Ni  0.500  0.000  0.000
Ni  0.000  0.500  0.000
Nb  0.000  0.000  0.500

Output
Raw total energy = -7.013 eV/atom
Theoretical density = 9.32 Mg/m³
Symmetry = P4/mmm

***

# 10
Nb2NiSbH | GGA-PBE | optimized geometry

Cell: 4.014 4.014 4.393 Å, 90.00 90.00 90.00°
Fractional positions:
Ni  0.000  0.000  0.500
Sb  0.500  0.500  0.500
Nb  0.500  0.000  0.000
Nb  0.000  0.500  0.000
H  0.000  0.000  0.000

Output
Raw total energy = -6.804 eV/atom
Theoretical density = 8.61 Mg/m³
Symmetry = P4/mmm

***

# 11
NbSiNi2H | GGA-PBE | optimized geometry

Cell: 3.644 3.644 4.123 Å, 90.00 90.00 90.00°
Fractional positions:
Ni  0.500  0.000  0.000
Ni  0.000  0.500  0.000
Si  0.500  0.500  0.500
Nb  0.000  0.000  0.500
H  0.000  0.000  0.000

Output
Raw total energy = -6.386 eV/atom
Theoretical density = 7.26 Mg/m³
Symmetry = P4/mmm

***

# 12
Nb2SiNiH | GGA-PBE | optimized geometry

Cell: 4.023 4.023 3.863 Å, 90.00 90.00 90.00°
Fractional positions:
Nb  0.000  0.500  0.000
Nb  0.500  0.000  0.000
Si  0.500  0.500  0.500
Ni  0.000  0.000  0.500
H  0.000  0.000  0.000

Output
Raw total energy = -7.220 eV/atom
Theoretical density = 7.27 Mg/m³
Symmetry = P4/mmm